<w>
Here is a geometry-optimized TbErOs structure from the Alexandria database. Energies are from PBE.

a b c (Å): 6.754 3.354 7.050
angles (deg): 90.00 104.06 90.00
Space group P2/m (No. 10)
Unique sites:
Tb: 0.063 0.000 0.245
Er: 0.440 0.000 0.760
Os: 0.251 0.500 0.000

---

<x>
Here is a geometry-optimized TbErOs structure from the Alexandria database. Energies are from PBE.

a b c (Å): 5.4074 5.4074 8.0036
angles (deg): 90.00 90.00 120.00
Space group P3_212 (No. 153)
Unique sites:
Tb: 0.1767 0.3534 0.3333
Er: 0.3663 0.1832 0.0000
Os: 0.0056 0.5028 0.0000

---

The most stable arrangement is <w>, and the next structure is 29.2 kJ/mol of atoms less stable.

---

<w>
Here is a geometry-optimized TbErOs structure from the Alexandria database. Energies are from PBE.

a b c (Å): 6.743 6.743 6.743
angles (deg): 90.00 90.00 90.00
Space group F-43m (No. 216)
Unique sites:
Tb: 0.000 0.000 0.000
Er: 0.000 0.000 0.500
Os: 0.250 0.250 0.250

---

<x>
Here is a geometry-optimized TbErOs structure from the Alexandria database. Energies are from PBE.

a b c (Å): 3.387 3.387 13.151
angles (deg): 90.00 90.00 90.00
Space group I4mm (No. 107)
Unique sites:
Tb: 0.000 0.000 0.000
Er: 0.000 0.000 0.251
Os: 0.000 0.000 0.628

---

The most stable arrangement is <x>, and the next structure is 2.4 kJ/mol of atoms less stable.

---

<w>
Here is a geometry-optimized Tb2ErOs structure from the Alexandria database. Energies are from PBE.

a b c (Å): 3.4497 3.4497 32.4537
angles (deg): 90.00 90.00 120.00
Space group R-3m (No. 166, hexagonal axes)
Unique sites:
Tb: 0.0000 0.0000 0.1050
Er: 0.0000 0.0000 0.0000
Os: 0.0000 0.0000 0.5000

---

<x>
Here is a geometry-optimized Tb2ErOs structure from the Alexandria database. Energies are from PBE.

a b c (Å): 3.397 3.397 9.312
angles (deg): 90.00 90.00 90.00
Space group P4/mmm (No. 123)
Unique sites:
Tb: 0.000 0.000 0.181
Er: 0.500 0.500 0.500
Os: 0.500 0.500 0.000

---

<y>
Here is a geometry-optimized Tb2ErOs structure from the Alexandria database. Energies are from PBE.

a b c (Å): 7.385 9.101 6.329
angles (deg): 90.00 90.00 90.00
Space group Pnma (No. 62)
Unique sites:
Tb: 0.175 0.063 0.169
Er: 0.040 0.250 0.632
Os: 0.117 0.750 0.964

---

The most stable arrangement is <y>, and the next structure is 18.1 kJ/mol of atoms less stable.